1.
Computed, not measured: Li4Tb3AlSe8 after structural relaxation at the GGA-PBE level of DFT.

Values from the calculation:
Uncorrected formation energy (meV/atom): -1486

Cell lengths 7.9625, 7.9625, 7.9625 Å; angles 60.43, 60.43, 60.43 degrees
Positions (direct):
Li  0.0000  0.0000  0.0000
Li  0.0000  0.5000  0.5000
Li  0.5000  0.0000  0.5000
Li  0.5000  0.5000  0.0000
Tb  0.0000  0.0000  0.5000
Tb  0.0000  0.5000  0.0000
Tb  0.5000  0.0000  0.0000
Al  0.5000  0.5000  0.5000
Se  0.2520  0.2520  0.2520
Se  0.2635  0.2635  0.7284
Se  0.2635  0.7284  0.2635
Se  0.2716  0.7365  0.7365
Se  0.7284  0.2635  0.2635
Se  0.7365  0.2716  0.7365
Se  0.7365  0.7365  0.2716
Se  0.7480  0.7480  0.7480

=====

2.
Computed, not measured: Hf2ZnPd6 after structural relaxation at the GGA-PBE level of DFT.

Values from the calculation:
ΔE_f (eV/atom): -0.48

Cell lengths 7.9008, 7.9008, 3.1676 Å; angles 101.08, 101.08, 54.93 degrees
Positions (direct):
Hf  0.1603  0.1603  0.1513
Hf  0.8397  0.8397  0.8487
Zn  0.5000  0.5000  0.5000
Pd  0.1363  0.5314  0.3388
Pd  0.2131  0.7869  0.0000
Pd  0.4686  0.8637  0.6612
Pd  0.5314  0.1363  0.3388
Pd  0.7869  0.2131  0.0000
Pd  0.8637  0.4686  0.6612

=====

3.
Computed, not measured: LiI3 after structural relaxation at the GGA-PBE level of DFT.

Values from the calculation:
Relative energy among the computed polymorphs (meV/atom): 389
Uncorrected formation energy (meV/atom): -59

Cell lengths 5.9083, 5.9083, 5.9083 Å; angles 60.00, 60.00, 60.00 degrees
Positions (direct):
Li  0.0000  0.0000  0.0000
I  0.2500  0.2500  0.2500
I  0.5000  0.5000  0.5000
I  0.7500  0.7500  0.7500

=====

4.
Computed, not measured: AlCdPt2IN after structural relaxation at the GGA-PBE level of DFT.

Values from the calculation:
Relative energy among the computed polymorphs (meV/atom): 53
Uncorrected formation energy (meV/atom): -23

Cell lengths 3.7513, 5.9490, 6.2975 Å; angles 66.75, 88.82, 81.84 degrees
Positions (direct):
Al  0.0000  0.0000  0.0000
Cd  0.0360  0.6225  0.4724
Pt  0.4883  0.0134  0.2490
Pt  0.9660  0.1231  0.5758
I  0.3126  0.5121  0.9536
N  0.4685  0.1229  0.5528

=====

5.
Computed, not measured: Cs4Pr3BiO8 after structural relaxation at the GGA-PBE level of DFT.

Values from the calculation:
Uncorrected formation energy (meV/atom): -2171

Cell lengths 8.1850, 8.1850, 8.1850 Å; angles 54.18, 54.18, 54.18 degrees
Positions (direct):
Cs  0.0000  0.0000  0.0000
Cs  0.0000  0.5000  0.5000
Cs  0.5000  0.0000  0.5000
Cs  0.5000  0.5000  0.0000
Pr  0.0000  0.0000  0.5000
Pr  0.0000  0.5000  0.0000
Pr  0.5000  0.0000  0.0000
Bi  0.5000  0.5000  0.5000
O  0.2224  0.7258  0.7258
O  0.2234  0.2234  0.2234
O  0.2742  0.2742  0.7776
O  0.2742  0.7776  0.2742
O  0.7258  0.2224  0.7258
O  0.7258  0.7258  0.2224
O  0.7766  0.7766  0.7766
O  0.7776  0.2742  0.2742

=====

6.
Computed, not measured: LiPr2N2Cl2 after structural relaxation at the GGA-PBE level of DFT.

Values from the calculation:
Uncorrected formation energy (meV/atom): -1359

Cell lengths 8.3307, 8.3307, 8.3307 Å; angles 152.36, 152.36, 39.49 degrees
Positions (direct):
Li  0.0000  0.0000  0.0000
Pr  0.3999  0.3999  0.0000
Pr  0.6001  0.6001  0.0000
N  0.0000  0.5000  0.5000
N  0.5000  0.0000  0.5000
Cl  0.1845  0.1845  0.0000
Cl  0.8155  0.8155  0.0000

=====

no.,DFT total energy (eV per atom)
1,-4.81
2,-6.29
3,-1.70
4,-4.46
5,-6.00
6,-5.90